No. 1
DFT (PBE) results for an optimized crystal structure of KZrGa.

a = 3.458 Å, b = 4.045 Å, c = 13.388 Å
α = 90.14°, β = 95.98°, γ = 90.00°
Atoms (fractional coordinates):
K 0.114 0.247 0.158
K 0.886 0.753 0.842
Zr 0.220 0.249 0.428
Zr 0.780 0.751 0.572
Ga 0.311 0.251 0.648
Ga 0.689 0.749 0.352

Output
**Symmetry**: P-1 (2)


No. 2
DFT (PBE) results for an optimized crystal structure of KZrGa.

a = 5.138 Å, b = 5.138 Å, c = 8.213 Å
α = 90.00°, β = 90.00°, γ = 90.00°
Atoms (fractional coordinates):
K 0.250 0.250 0.159
K 0.750 0.750 0.841
Zr 0.250 0.250 0.595
Zr 0.750 0.750 0.405
Ga 0.250 0.750 0.500
Ga 0.750 0.250 0.500

Output
**Symmetry**: P4/nmm (129)


No. 3
DFT (PBE) results for an optimized crystal structure of KZrGa.

a = 5.309 Å, b = 5.309 Å, c = 5.907 Å
α = 90.00°, β = 90.00°, γ = 120.00°
Atoms (fractional coordinates):
K 0.000 0.000 0.000
K 0.000 0.000 0.500
Zr 0.333 0.667 0.250
Zr 0.667 0.333 0.750
Ga 0.333 0.667 0.750
Ga 0.667 0.333 0.250

Output
**Symmetry**: P6_3/mmc (194)


No. 4
DFT (PBE) results for an optimized crystal structure of K2ZrGa.

a = 12.064 Å, b = 12.064 Å, c = 5.342 Å
α = 90.00°, β = 90.00°, γ = 90.00°
Atoms (fractional coordinates):
K 0.117 0.750 0.125
K 0.250 0.117 0.875
K 0.250 0.383 0.375
K 0.383 0.750 0.625
K 0.617 0.250 0.625
K 0.750 0.617 0.375
K 0.750 0.883 0.875
K 0.883 0.250 0.125
Zr 0.000 0.000 0.500
Zr 0.000 0.500 0.750
Zr 0.500 0.000 0.250
Zr 0.500 0.500 0.000
Ga 0.000 0.000 0.000
Ga 0.000 0.500 0.250
Ga 0.500 0.000 0.750
Ga 0.500 0.500 0.500

Output
**Symmetry**: I-42d (122)


No. 5
DFT (PBE) results for an optimized crystal structure of KZrGa.

a = 4.297 Å, b = 4.763 Å, c = 12.018 Å
α = 98.16°, β = 91.61°, γ = 116.67°
Atoms (fractional coordinates):
K 0.000 0.000 0.000
K 0.255 0.401 0.671
Zr 0.390 0.733 0.246
Zr 0.805 0.539 0.402
Ga 0.091 0.128 0.305
Ga 0.517 0.954 0.479

Output
**Symmetry**: P1 (1)


No. 6
DFT (PBE) results for an optimized crystal structure of KZrGa.

a = 6.333 Å, b = 3.911 Å, c = 14.737 Å
α = 90.00°, β = 90.00°, γ = 90.00°
Atoms (fractional coordinates):
K 0.249 0.250 0.043
K 0.251 0.750 0.543
K 0.749 0.250 0.457
K 0.751 0.750 0.957
Zr 0.001 0.250 0.750
Zr 0.499 0.750 0.250
Zr 0.501 0.250 0.750
Zr 0.999 0.750 0.250
Ga 0.249 0.250 0.333
Ga 0.251 0.750 0.833
Ga 0.749 0.250 0.167
Ga 0.751 0.750 0.667

Output
**Symmetry**: Pnma (62)


No. 7
DFT (PBE) results for an optimized crystal structure of KZrGa.

a = 4.621 Å, b = 4.627 Å, c = 11.744 Å
α = 89.74°, β = 78.71°, γ = 60.05°
Atoms (fractional coordinates):
K 0.000 0.000 0.000
K 0.102 0.460 0.334
Zr 0.617 0.198 0.567
Zr 0.850 0.579 0.720
Ga 0.254 0.879 0.611
Ga 0.460 0.273 0.807

Output
**Symmetry**: P1 (1)


No. 8
DFT (PBE) results for an optimized crystal structure of KZrGa2.

a = 5.313 Å, b = 5.313 Å, c = 18.932 Å
α = 90.00°, β = 90.00°, γ = 90.00°
Atoms (fractional coordinates):
K 0.000 0.000 0.000
K 0.000 0.500 0.250
K 0.500 0.000 0.750
K 0.500 0.500 0.500
Zr 0.000 0.000 0.500
Zr 0.000 0.500 0.750
Zr 0.500 0.000 0.250
Zr 0.500 0.500 0.000
Ga 0.088 0.250 0.625
Ga 0.250 0.588 0.875
Ga 0.250 0.912 0.375
Ga 0.412 0.250 0.125
Ga 0.588 0.750 0.125
Ga 0.750 0.088 0.375
Ga 0.750 0.412 0.875
Ga 0.912 0.750 0.625

Output
**Symmetry**: I-42d (122)


No. 9
DFT (PBE) results for an optimized crystal structure of K3ZrGa.

a = 6.364 Å, b = 6.364 Å, c = 6.364 Å
α = 90.00°, β = 90.00°, γ = 90.00°
Atoms (fractional coordinates):
K 0.000 0.000 0.500
K 0.000 0.500 0.000
K 0.500 0.000 0.000
Zr 0.500 0.500 0.500
Ga 0.000 0.000 0.000

Output
**Symmetry**: Pm-3m (221)


No. 10
DFT (PBE) results for an optimized crystal structure of KZrGa.

a = 5.267 Å, b = 5.267 Å, c = 3.216 Å
α = 90.00°, β = 90.00°, γ = 120.00°
Atoms (fractional coordinates):
K 0.000 0.000 0.000
Zr 0.667 0.333 0.500
Ga 0.333 0.667 0.500

Output
**Symmetry**: P-6m2 (187)


No. 11
DFT (PBE) results for an optimized crystal structure of KZrGa.

a = 3.286 Å, b = 3.882 Å, c = 14.118 Å
α = 90.00°, β = 90.92°, γ = 90.00°
Atoms (fractional coordinates):
K 0.000 0.000 0.000
K 0.449 0.500 0.301
Zr 0.965 0.000 0.520
Zr 0.982 0.000 0.732
Ga 0.473 0.500 0.620
Ga 0.488 0.500 0.827

Output
**Symmetry**: Pm (6)


No. 12
DFT (PBE) results for an optimized crystal structure of KZrGa.

a = 3.721 Å, b = 4.248 Å, c = 12.867 Å
α = 99.21°, β = 90.44°, γ = 90.01°
Atoms (fractional coordinates):
K 0.000 0.000 0.000
K 0.498 0.332 0.685
Zr 0.479 0.619 0.247
Zr 0.984 0.712 0.438
Ga 0.483 0.204 0.421
Ga 0.979 0.127 0.264

Output
**Symmetry**: P1 (1)


| no. | DOS at the Fermi energy (states/eV per cell) | formation enthalpy at 0 K (meV per atom) |
| --- | --- | --- |
| 1 | 5.82 | -128 |
| 2 | 1.83 | 241 |
| 3 | 0.92 | 364 |
| 4 | 21.97 | 754 |
| 5 | 1.16 | 52 |
| 6 | 16.85 | 169 |
| 7 | 3.27 | 39 |
| 8 | 25.97 | 483 |
| 9 | 15.30 | 1146 |
| 10 | 2.01 | 564 |
| 11 | 5.43 | -13 |
| 12 | 4.14 | -115 |